# Ni3BiF

An optimized crystal structure of Ni3BiF (PBE+U, Alexandria).

```
data_Ni3BiF
_chemical_formula_sum 'Ni3 Bi1 F1'
_symmetry_space_group_name_H-M 'P 1'
_symmetry_Int_Tables_number 1
_cell_length_a 4.280
_cell_length_b 4.280
_cell_length_c 4.280
_cell_angle_alpha 90.00
_cell_angle_beta 90.00
_cell_angle_gamma 90.00
loop_
_symmetry_equiv_pos_as_xyz
'x,y,z'
loop_
_atom_site_label
_atom_site_fract_x
_atom_site_fract_y
_atom_site_fract_z
Ni1 0.000 0.000 0.500
Ni2 0.000 0.500 0.000
Ni3 0.500 0.000 0.000
Bi1 0.500 0.500 0.500
F1 0.000 0.000 0.000
```

Output
DFT total energy, eV/atom: -2.631
Magnetic moment, μB per formula unit: 3.1
Symmetry: No. 221